# 1
Crystalline YTa4W at its relaxed geometry. Source: the Alexandria database, functional PBE-GGA.

abc: 5.527 5.527 5.527
angles: 60.00 60.00 60.00
Fractional coordinates of all 6 atoms:
1 Ta 0.375 0.375 0.876
2 Ta 0.375 0.876 0.375
3 Ta 0.876 0.375 0.375
4 Ta 0.375 0.375 0.375
5 Y 0.000 0.000 0.000
6 W 0.750 0.750 0.750

Its density of states at the Fermi level is 1.856 states/eV/atom. The value obtained for the formation energy is 368 meV/atom. The calculated total energy is -10.770 eV per atom. The volume is 119.4 Å³/f.u.

---

# 2
Crystalline P12Os5Ru3 at its relaxed geometry. Source: the Alexandria database, functional PBE-GGA.

abc: 11.959 11.959 11.959
angles: 109.47 109.47 109.47
Fractional coordinates of all 80 atoms:
1 Os 0.500 0.000 0.500
2 Os 0.125 0.375 0.250
3 Os 0.000 0.500 0.000
4 Os 0.250 0.875 0.125
5 Os 0.500 0.000 0.000
6 Os 0.625 0.875 0.250
7 Os 0.625 0.750 0.875
8 Os 0.750 0.625 0.375
9 Os 0.500 0.500 0.500
10 Os 0.750 0.125 0.875
11 Os 0.375 0.125 0.750
12 Os 0.125 0.750 0.375
13 Os 0.000 0.000 0.500
14 Os 0.875 0.250 0.625
15 Os 0.375 0.250 0.125
16 Os 0.875 0.625 0.750
17 Os 0.000 0.500 0.500
18 Os 0.000 0.000 0.000
19 Os 0.250 0.375 0.625
20 Os 0.500 0.500 0.000
21 P 0.673 0.230 0.599
22 P 0.074 0.173 0.443
23 P 0.574 0.631 0.401
24 P 0.443 0.770 0.869
25 P 0.099 0.173 0.230
26 P 0.426 0.369 0.599
27 P 0.270 0.401 0.827
28 P 0.557 0.327 0.926
29 P 0.631 0.574 0.901
30 P 0.730 0.599 0.173
31 P 0.173 0.074 0.943
32 P 0.943 0.574 0.173
33 P 0.057 0.631 0.730
34 P 0.057 0.426 0.827
35 P 0.673 0.443 0.574
36 P 0.401 0.270 0.327
37 P 0.230 0.557 0.631
38 P 0.230 0.673 0.099
39 P 0.443 0.673 0.074
40 P 0.770 0.327 0.901
41 P 0.074 0.901 0.131
42 P 0.730 0.131 0.057
43 P 0.557 0.230 0.131
44 P 0.827 0.926 0.057
45 P 0.770 0.443 0.369
46 P 0.869 0.270 0.443
47 P 0.131 0.401 0.074
48 P 0.099 0.926 0.369
49 P 0.631 0.057 0.230
50 P 0.270 0.869 0.943
51 P 0.901 0.827 0.770
52 P 0.369 0.426 0.099
53 P 0.327 0.770 0.401
54 P 0.599 0.869 0.426
55 P 0.574 0.943 0.673
56 P 0.827 0.901 0.270
57 P 0.327 0.557 0.426
58 P 0.599 0.730 0.673
59 P 0.131 0.730 0.557
60 P 0.173 0.099 0.730
61 P 0.901 0.074 0.631
62 P 0.369 0.943 0.770
63 P 0.926 0.827 0.557
64 P 0.869 0.599 0.926
65 P 0.426 0.057 0.327
66 P 0.943 0.369 0.270
67 P 0.401 0.131 0.574
68 P 0.926 0.099 0.869
69 Ru 0.750 0.875 0.625
70 Ru 0.375 0.750 0.625
71 Ru 0.125 0.250 0.875
72 Ru 0.250 0.125 0.375
73 Ru 0.625 0.375 0.750
74 Ru 0.125 0.875 0.750
75 Ru 0.750 0.375 0.125
76 Ru 0.875 0.125 0.250
77 Ru 0.375 0.625 0.250
78 Ru 0.875 0.750 0.125
79 Ru 0.625 0.250 0.375
80 Ru 0.250 0.625 0.875

Its density of states at the Fermi level is 0.512 states/eV/atom. The value obtained for the formation energy is 94 meV/atom. The calculated total energy is -7.350 eV per atom. The volume is 329.2 Å³/f.u.

---

# 3
Crystalline Sm4CdCo at its relaxed geometry. Source: the Alexandria database, functional PBE-GGA.

abc: 7.051 7.174 7.254
angles: 90.00 95.35 90.00
Fractional coordinates of all 12 atoms:
1 Sm 0.891 0.644 0.191
2 Sm 0.697 0.669 0.645
3 Sm 0.109 0.356 0.809
4 Sm 0.197 0.831 0.645
5 Sm 0.303 0.331 0.355
6 Sm 0.803 0.169 0.355
7 Sm 0.391 0.856 0.191
8 Sm 0.609 0.144 0.809
9 Cd 0.500 0.500 0.000
10 Cd 0.000 0.000 0.000
11 Co 0.500 0.000 0.500
12 Co 0.000 0.500 0.500

Its density of states at the Fermi level is 1.249 states/eV/atom. The energy above the most stable polymorph in this dataset is 188 meV per atom. The value obtained for the formation energy is -22 meV/atom. The calculated total energy is -4.505 eV per atom. The volume is 182.7 Å³/f.u.